one) {
  "formula": "CaNdHg3",
  "functional": "GGA-PBE",
  "state": "relaxed",
  "dos_at_fermi_per_ev_atom": 1.20,
  "lattice_angstrom": [[7.0703, 0.0000, 0.0000], [-3.5352, 6.1231, 0.0000], [0.0000, 0.0000, 6.8915]],
  "species": ["Ca", "Ca", "Nd", "Nd", "Hg", "Hg", "Hg", "Hg", "Hg", "Hg"],
  "frac_coords": [[0.0000, 0.0000, 0.0000], [0.0000, 0.0000, 0.5000], [0.3333, 0.6667, 0.2500], [0.6667, 0.3333, 0.7500], [0.1976, 0.3953, 0.7500], [0.1976, 0.8024, 0.7500], [0.3953, 0.1976, 0.2500], [0.6047, 0.8024, 0.7500], [0.8024, 0.1976, 0.2500], [0.8024, 0.6047, 0.2500]]
}

two) {
  "formula": "CaNdHg3",
  "functional": "GGA-PBE",
  "state": "relaxed",
  "dos_at_fermi_per_ev_atom": 0.80,
  "lattice_angstrom": [[1.8132, -14.7274, 0.0000], [1.8132, 14.7274, 0.0000], [0.0000, 0.0000, 5.0221]],
  "species": ["Ca", "Ca", "Nd", "Nd", "Hg", "Hg", "Hg", "Hg", "Hg", "Hg"],
  "frac_coords": [[0.2097, 0.7903, 0.7500], [0.7903, 0.2097, 0.2500], [0.0753, 0.9247, 0.2500], [0.9247, 0.0753, 0.7500], [0.3207, 0.6793, 0.7500], [0.3782, 0.6218, 0.2500], [0.4762, 0.5238, 0.2500], [0.5238, 0.4762, 0.7500], [0.6218, 0.3782, 0.7500], [0.6793, 0.3207, 0.2500]]
}

Which structure wins on stability? two) wins.

one) {
  "formula": "CaNd2Hg4",
  "functional": "GGA-PBE",
  "state": "relaxed",
  "dos_at_fermi_per_ev_atom": 0.78,
  "lattice_angstrom": [[2.6177, 1.5113, 8.7655], [-2.6177, 1.5113, 8.7655], [0.0000, -3.0226, 8.7655]],
  "species": ["Ca", "Nd", "Nd", "Hg", "Hg", "Hg", "Hg"],
  "frac_coords": [[0.0000, 0.0000, 0.0000], [0.2464, 0.2464, 0.2464], [0.7536, 0.7536, 0.7536], [0.1261, 0.1261, 0.1261], [0.3742, 0.3742, 0.3742], [0.6258, 0.6258, 0.6258], [0.8739, 0.8739, 0.8739]]
}

two) {
  "formula": "CaNd2Hg4",
  "functional": "GGA-PBE",
  "state": "relaxed",
  "dos_at_fermi_per_ev_atom": 0.72,
  "lattice_angstrom": [[-2.8047, 2.8047, 7.8880], [2.8047, -2.8047, 7.8880], [2.8047, 2.8047, -7.8880]],
  "species": ["Ca", "Nd", "Nd", "Hg", "Hg", "Hg", "Hg"],
  "frac_coords": [[0.0000, 0.0000, 0.0000], [0.3927, 0.3927, 0.0000], [0.6073, 0.6073, 0.0000], [0.0000, 0.5000, 0.5000], [0.1942, 0.1942, 0.0000], [0.5000, 0.0000, 0.5000], [0.8058, 0.8058, 0.0000]]
}

Which structure wins on stability? one) wins.

one) {
  "formula": "Ca2NdHg3",
  "functional": "GGA-PBE",
  "state": "relaxed",
  "dos_at_fermi_per_ev_atom": 1.02,
  "lattice_angstrom": [[3.8111, 0.0000, 0.0000], [0.0000, 3.8111, 0.0000], [0.0000, 0.0000, 11.4159]],
  "species": ["Ca", "Ca", "Nd", "Hg", "Hg", "Hg"],
  "frac_coords": [[0.0000, 0.0000, 0.1646], [0.0000, 0.0000, 0.8354], [0.0000, 0.0000, 0.5000], [0.5000, 0.5000, 0.0000], [0.5000, 0.5000, 0.3323], [0.5000, 0.5000, 0.6677]]
}

two) {
  "formula": "Ca2NdHg3",
  "functional": "GGA-PBE",
  "state": "relaxed",
  "dos_at_fermi_per_ev_atom": 0.59,
  "lattice_angstrom": [[5.3714, 0.0000, 0.0000], [-2.6857, 4.6518, 0.0000], [0.0000, 0.0000, 6.6183]],
  "species": ["Ca", "Ca", "Nd", "Hg", "Hg", "Hg"],
  "frac_coords": [[0.3333, 0.6667, 0.1602], [0.6667, 0.3333, 0.8398], [0.0000, 0.0000, 0.5000], [0.0000, 0.0000, 0.0000], [0.3333, 0.6667, 0.6627], [0.6667, 0.3333, 0.3373]]
}

Which structure wins on stability? two) wins.

one) {
  "formula": "CaPrNdHg",
  "functional": "GGA-PBE",
  "state": "relaxed",
  "dos_at_fermi_per_ev_atom": 1.19,
  "lattice_angstrom": [[0.0000, 3.9709, 3.9709], [3.9709, 0.0000, 3.9709], [3.9709, 3.9709, 0.0000]],
  "species": ["Ca", "Pr", "Nd", "Hg"],
  "frac_coords": [[0.0000, 0.0000, 0.0000], [0.7500, 0.7500, 0.7500], [0.2500, 0.2500, 0.2500], [0.5000, 0.5000, 0.5000]]
}

two) {
  "formula": "CaPrNdHg",
  "functional": "GGA-PBE",
  "state": "relaxed",
  "dos_at_fermi_per_ev_atom": 1.27,
  "lattice_angstrom": [[3.7145, 0.0000, 0.0000], [0.0000, 3.7145, 0.0000], [0.0000, 0.0000, 9.5024]],
  "species": ["Ca", "Pr", "Nd", "Hg"],
  "frac_coords": [[0.0000, 0.0000, 0.0000], [0.5000, 0.5000, 0.3109], [0.0000, 0.0000, 0.5809], [0.5000, 0.5000, 0.7947]]
}

Which structure wins on stability? two) wins.

one) {
  "formula": "CaNdHgPt",
  "functional": "GGA-PBE",
  "state": "relaxed",
  "dos_at_fermi_per_ev_atom": 0.53,
  "lattice_angstrom": [[4.3400, 0.0000, 0.0000], [0.0000, 2.0253, 5.9729], [0.0000, -2.0253, 5.9729]],
  "species": ["Ca", "Nd", "Hg", "Pt"],
  "frac_coords": [[0.0000, 0.0000, 0.0000], [0.5000, 0.2909, 0.2909], [0.5000, 0.5715, 0.5715], [0.0000, 0.7456, 0.7456]]
}

two) {
  "formula": "CaNdHgPt",
  "functional": "GGA-PBE",
  "state": "relaxed",
  "dos_at_fermi_per_ev_atom": 0.69,
  "lattice_angstrom": [[0.0000, 3.6673, 3.6673], [3.6673, 0.0000, 3.6673], [3.6673, 3.6673, 0.0000]],
  "species": ["Ca", "Nd", "Hg", "Pt"],
  "frac_coords": [[0.0000, 0.0000, 0.0000], [0.5000, 0.5000, 0.5000], [0.7500, 0.7500, 0.7500], [0.2500, 0.2500, 0.2500]]
}

Which structure wins on stability? one) wins.

one) {
  "formula": "Ca3NiHg",
  "functional": "GGA-PBE",
  "state": "relaxed",
  "dos_at_fermi_per_ev_atom": 0.55,
  "lattice_angstrom": [[5.3834, 0.0000, 0.0000], [0.0000, 5.3834, 0.0000], [0.0000, 0.0000, 5.3834]],
  "species": ["Ca", "Ca", "Ca", "Ni", "Hg"],
  "frac_coords": [[0.0000, 0.0000, 0.5000], [0.0000, 0.5000, 0.0000], [0.5000, 0.0000, 0.0000], [0.0000, 0.0000, 0.0000], [0.5000, 0.5000, 0.5000]]
}

two) {
  "formula": "Ca3NiHg",
  "functional": "GGA-PBE",
  "state": "relaxed",
  "dos_at_fermi_per_ev_atom": 0.84,
  "lattice_angstrom": [[8.1380, 0.0000, 0.0000], [0.0000, 4.2383, 0.0000], [-2.9056, 0.0000, 8.1677]],
  "species": ["Ca", "Ca", "Ca", "Ca", "Ca", "Ca", "Ni", "Ni", "Hg", "Hg"],
  "frac_coords": [[0.0738, 0.2500, 0.2415], [0.3027, 0.2500, 0.9184], [0.3327, 0.7500, 0.5821], [0.6673, 0.2500, 0.4179], [0.6973, 0.7500, 0.0816], [0.9262, 0.7500, 0.7585], [0.0466, 0.2500, 0.5646], [0.9534, 0.7500, 0.4354], [0.3597, 0.7500, 0.2033], [0.6403, 0.2500, 0.7967]]
}

Which structure wins on stability? two) wins.

one) {
  "formula": "Ca4NiHg",
  "functional": "GGA-PBE",
  "state": "relaxed",
  "dos_at_fermi_per_ev_atom": 0.72,
  "lattice_angstrom": [[4.6749, -6.8725, 0.0000], [4.6749, 6.8725, 0.0000], [-3.0423, 0.0000, 5.6373]],
  "species": ["Ca", "Ca", "Ca", "Ca", "Ca", "Ca", "Ca", "Ca", "Ni", "Ni", "Hg", "Hg"],
  "frac_coords": [[0.0562, 0.7129, 0.9197], [0.2199, 0.3522, 0.6939], [0.2871, 0.9438, 0.5803], [0.3522, 0.2199, 0.1939], [0.6478, 0.7801, 0.8061], [0.7129, 0.0562, 0.4197], [0.7801, 0.6478, 0.3061], [0.9438, 0.2871, 0.0803], [0.0014, 0.9986, 0.7500], [0.9986, 0.0014, 0.2500], [0.3677, 0.6323, 0.2500], [0.6323, 0.3677, 0.7500]]
}

two) {
  "formula": "Ca4NiHg",
  "functional": "GGA-PBE",
  "state": "relaxed",
  "dos_at_fermi_per_ev_atom": 1.43,
  "lattice_angstrom": [[0.0000, 4.5722, 4.5722], [4.5722, 0.0000, 4.5722], [4.5722, 4.5722, 0.0000]],
  "species": ["Ca", "Ca", "Ca", "Ca", "Ni", "Hg"],
  "frac_coords": [[0.1254, 0.1254, 0.1254], [0.1254, 0.1254, 0.6237], [0.1254, 0.6237, 0.1254], [0.6237, 0.1254, 0.1254], [0.5000, 0.5000, 0.5000], [0.7500, 0.7500, 0.7500]]
}

Which structure wins on stability? one) wins.